(1)
This record from Alexandria via LeMat-Bulk describes an optimized crystal structure of MgAl3B. The functional is GGA-PBE.

Lattice parameters (Å, degrees): 5.037 5.037 5.037 90.00 90.00 90.00
Fractional coordinates of all 5 atoms:
Mg1 0.000 0.000 0.000
B1 0.500 0.500 0.500
Al1 0.000 0.500 0.000
Al2 0.000 0.000 0.500
Al3 0.500 0.000 0.000

Calculated values
DOS at the Fermi energy: 0.783 states/eV/atom
calculated formation energy: 1.738 eV per atom
distance to the lowest polymorph of the same formula: 1.418 eV/atom



(2)
This record from Alexandria via LeMat-Bulk describes an optimized crystal structure of MgAlB. The functional is GGA-PBE.

Lattice parameters (Å, degrees): 5.312 3.069 11.947 90.00 107.45 90.00
Fractional coordinates of all 12 atoms:
Mg1 0.535 0.000 0.837
Mg2 0.535 0.500 0.337
Mg3 0.292 0.000 0.075
Mg4 0.292 0.500 0.575
B1 0.944 0.000 0.425
B2 0.944 0.500 0.925
B3 0.006 0.000 0.881
B4 0.006 0.500 0.381
Al1 0.758 0.000 0.570
Al2 0.758 0.500 0.070
Al3 0.049 0.000 0.258
Al4 0.049 0.500 0.758

Calculated values
DOS at the Fermi energy: 0.265 states/eV/atom
calculated formation energy: 0.098 eV per atom



(3)
This record from Alexandria via LeMat-Bulk describes an optimized crystal structure of MgAlB. The functional is GGA-PBE.

Lattice parameters (Å, degrees): 4.181 3.062 7.109 90.00 96.69 90.00
Fractional coordinates of all 6 atoms:
Mg1 0.539 0.500 0.831
Mg2 0.389 0.500 0.383
B1 0.786 0.500 0.159
B2 0.618 0.000 0.158
Al1 0.995 0.000 0.635
Al2 0.093 0.000 0.048

Calculated values
DOS at the Fermi energy: 0.150 states/eV/atom
calculated formation energy: 0.077 eV per atom



(4)
This record from Alexandria via LeMat-Bulk describes an optimized crystal structure of MgAlB. The functional is GGA-PBE.

Lattice parameters (Å, degrees): 3.051 3.050 10.667 90.06 90.04 59.99
Fractional coordinates of all 6 atoms:
Mg1 0.629 0.977 0.669
Mg2 0.964 0.308 0.912
Al1 0.295 0.647 0.447
Al2 0.295 0.646 0.135
B1 0.628 0.981 0.289
B2 0.961 0.314 0.292

Calculated values
DOS at the Fermi energy: 0.311 states/eV/atom
calculated formation energy: 0.025 eV per atom



(5)
This record from Alexandria via LeMat-Bulk describes an optimized crystal structure of MgAl2B. The functional is GGA-PBE.

Lattice parameters (Å, degrees): 7.391 7.391 5.733 49.86 49.86 90.00
Fractional coordinates of all 8 atoms:
Mg1 0.000 0.000 0.000
Mg2 0.750 0.250 0.500
B1 0.500 0.500 0.000
B2 0.250 0.750 0.500
Al1 0.523 0.125 0.250
Al2 0.227 0.625 0.250
Al3 0.375 0.477 0.750
Al4 0.875 0.773 0.750

Calculated values
DOS at the Fermi energy: 0.370 states/eV/atom
calculated formation energy: 0.244 eV per atom
distance to the lowest polymorph of the same formula: 0.000 eV/atom



(6)
This record from Alexandria via LeMat-Bulk describes an optimized crystal structure of MgAlB2. The functional is GGA-PBE.

Lattice parameters (Å, degrees): 3.981 3.981 3.981 60.00 60.00 60.00
Fractional coordinates of all 4 atoms:
Mg1 0.000 0.000 0.000
B1 0.250 0.250 0.250
B2 0.750 0.750 0.750
Al1 0.500 0.500 0.500

Calculated values
DOS at the Fermi energy: 0.390 states/eV/atom
calculated formation energy: 0.789 eV per atom
distance to the lowest polymorph of the same formula: 0.058 eV/atom



(7)
This record from Alexandria via LeMat-Bulk describes an optimized crystal structure of MgAlB3. The functional is GGA-PBE.

Lattice parameters (Å, degrees): 4.152 4.152 4.152 90.00 90.00 90.00
Fractional coordinates of all 5 atoms:
Mg1 0.500 0.500 0.500
B1 0.000 0.500 0.000
B2 0.000 0.000 0.500
B3 0.500 0.000 0.000
Al1 0.000 0.000 0.000

Calculated values
DOS at the Fermi energy: 0.528 states/eV/atom
calculated formation energy: 1.497 eV per atom
distance to the lowest polymorph of the same formula: 0.000 eV/atom



(8)
This record from Alexandria via LeMat-Bulk describes an optimized crystal structure of MgAl2B28. The functional is GGA-PBE.

Lattice parameters (Å, degrees): 7.173 7.174 10.956 101.39 102.48 111.43
Fractional coordinates of all 62 atoms:
Mg1 0.496 0.888 0.107
Mg2 0.989 0.091 0.392
Al1 0.221 0.481 0.237
Al2 0.510 0.509 0.500
Al3 0.792 0.531 0.766
Al4 0.454 0.148 0.811
B1 0.118 0.869 0.086
B2 0.132 0.260 0.041
B3 0.302 0.530 0.075
B4 0.205 0.725 0.173
B5 0.275 0.099 0.050
B6 0.884 0.900 0.113
B7 0.711 0.464 0.086
B8 0.541 0.535 0.166
B9 0.372 0.874 0.335
B10 0.540 0.273 0.141
B11 0.803 0.725 0.203
B12 0.891 0.140 0.083
B13 0.807 0.307 0.166
B14 0.966 0.589 0.205
B15 0.537 0.413 0.294
B16 0.698 0.695 0.336
B17 0.614 0.863 0.419
B18 0.699 0.274 0.299
B19 0.963 0.725 0.361
B20 0.129 0.121 0.163
B21 0.959 0.466 0.335
B22 0.793 0.537 0.417
B23 0.622 0.877 0.587
B24 0.617 0.102 0.391
B25 0.225 0.897 0.452
B26 0.295 0.270 0.326
B27 0.197 0.469 0.425
B28 0.371 0.742 0.457
B29 0.629 0.259 0.545
B30 0.807 0.531 0.578
B31 0.707 0.732 0.677
B32 0.775 0.102 0.548
B33 0.383 0.898 0.610
B34 0.381 0.122 0.415
B35 0.211 0.467 0.587
B36 0.043 0.534 0.666
B37 0.871 0.878 0.838
B38 0.037 0.273 0.640
B39 0.306 0.730 0.708
B40 0.386 0.135 0.582
B41 0.302 0.305 0.667
B42 0.467 0.587 0.709
B43 0.032 0.407 0.796
B44 0.192 0.689 0.836
B45 0.109 0.856 0.919
B46 0.194 0.272 0.797
B47 0.461 0.727 0.862
B48 0.632 0.124 0.664
B49 0.458 0.469 0.836
B50 0.287 0.531 0.917
B51 0.121 0.096 0.892
B52 0.727 0.899 0.954
B53 0.791 0.269 0.829
B54 0.694 0.463 0.926
B55 0.869 0.738 0.962
B56 0.882 0.127 0.916

Calculated values
calculated formation energy: -0.098 eV per atom
distance to the lowest polymorph of the same formula: 0.000 eV/atom



(9)
This record from Alexandria via LeMat-Bulk describes an optimized crystal structure of MgAlB. The functional is GGA-PBE.

Lattice parameters (Å, degrees): 3.063 4.092 7.354 90.00 90.00 90.00
Fractional coordinates of all 6 atoms:
Mg1 0.500 0.000 0.206
Mg2 0.500 0.000 0.639
B1 0.500 0.500 0.806
B2 0.000 0.500 0.713
Al1 0.000 0.500 0.406
Al2 0.000 0.500 0.016

Calculated values
DOS at the Fermi energy: 0.266 states/eV/atom
calculated formation energy: 0.099 eV per atom



(10)
This record from Alexandria via LeMat-Bulk describes an optimized crystal structure of MgAlB4. The functional is GGA-PBE.

Lattice parameters (Å, degrees): 3.171 3.171 5.745 106.02 106.02 90.00
Fractional coordinates of all 6 atoms:
Mg1 0.000 0.000 0.000
Al1 0.250 0.750 0.500
B1 0.667 0.167 0.335
B2 0.587 0.587 0.173
B3 0.833 0.333 0.665
B4 0.413 0.413 0.827

Calculated values
DOS at the Fermi energy: 0.278 states/eV/atom
calculated formation energy: 0.028 eV per atom
distance to the lowest polymorph of the same formula: 0.177 eV/atom



(11)
This record from Alexandria via LeMat-Bulk describes an optimized crystal structure of MgAlB2. The functional is GGA-PBE.

Lattice parameters (Å, degrees): 3.975 3.975 7.637 74.91 74.91 90.00
Fractional coordinates of all 8 atoms:
Mg1 0.500 0.500 0.000
Mg2 0.250 0.750 0.500
B1 0.792 0.125 0.250
B2 0.958 0.625 0.250
B3 0.375 0.208 0.750
B4 0.875 0.042 0.750
Al1 0.000 0.000 0.000
Al2 0.750 0.250 0.500

Calculated values
DOS at the Fermi energy: 0.449 states/eV/atom
calculated formation energy: 0.731 eV per atom
distance to the lowest polymorph of the same formula: 0.000 eV/atom



(12)
This record from Alexandria via LeMat-Bulk describes an optimized crystal structure of MgAlB. The functional is GGA-PBE.

Lattice parameters (Å, degrees): 5.356 3.035 10.981 90.00 91.87 90.00
Fractional coordinates of all 12 atoms:
Mg1 0.356 0.000 0.865
Mg2 0.644 0.000 0.135
Mg3 0.356 0.500 0.365
Mg4 0.644 0.500 0.635
B1 0.935 0.000 0.759
B2 0.065 0.000 0.241
B3 0.935 0.500 0.259
B4 0.065 0.500 0.741
Al1 0.831 0.000 0.406
Al2 0.169 0.000 0.594
Al3 0.831 0.500 0.906
Al4 0.169 0.500 0.094

Calculated values
DOS at the Fermi energy: 0.244 states/eV/atom
calculated formation energy: 0.078 eV per atom



(13)
This record from Alexandria via LeMat-Bulk describes an optimized crystal structure of MgAlB. The functional is GGA-PBE.

Lattice parameters (Å, degrees): 4.109 3.109 6.695 90.00 100.76 90.00
Fractional coordinates of all 6 atoms:
Mg1 0.209 0.250 0.870
Mg2 0.791 0.750 0.130
B1 0.895 0.250 0.482
B2 0.105 0.750 0.518
Al1 0.345 0.250 0.332
Al2 0.655 0.750 0.668

Calculated values
DOS at the Fermi energy: 0.356 states/eV/atom
calculated formation energy: 0.068 eV per atom



(14)
This record from Alexandria via LeMat-Bulk describes an optimized crystal structure of MgAlB. The functional is GGA-PBE.

Lattice parameters (Å, degrees): 3.048 5.743 5.721 76.96 74.82 74.59
Fractional coordinates of all 6 atoms:
Mg1 0.809 0.249 0.134
Mg2 0.191 0.751 0.866
B1 0.219 0.066 0.495
B2 0.781 0.934 0.505
Al1 0.527 0.286 0.661
Al2 0.473 0.714 0.339

Calculated values
DOS at the Fermi energy: 0.266 states/eV/atom
calculated formation energy: 0.093 eV per atom



(15)
This record from Alexandria via LeMat-Bulk describes an optimized crystal structure of MgMn2AlB. The functional is GGA-PBE.

Lattice parameters (Å, degrees): 4.013 4.076 4.013 90.00 90.00 90.00
Fractional coordinates of all 5 atoms:
Mg1 0.500 0.500 0.500
Mn1 0.000 0.000 0.500
Mn2 0.500 0.000 0.000
Al1 0.000 0.500 0.000
B1 0.000 0.000 0.000

Calculated values
DOS at the Fermi energy: 0.731 states/eV/atom
calculated formation energy: 0.044 eV per atom



(16)
This record from Alexandria via LeMat-Bulk describes an optimized crystal structure of NaMg3Al6Si6B3O31. The functional is GGA-PBE.

Lattice parameters (Å, degrees): 7.318 9.630 9.630 113.81 104.67 104.67
Fractional coordinates of all 50 atoms:
Na1 0.228 0.000 0.000
Mg1 0.910 0.192 0.000
Mg2 0.718 0.808 0.808
Mg3 0.910 0.000 0.192
Al1 0.893 0.775 0.338
Al2 0.118 0.563 0.225
Al3 0.554 0.662 0.437
Al4 0.893 0.338 0.775
Al5 0.554 0.437 0.662
Al6 0.118 0.225 0.563
Si1 0.474 0.194 0.811
Si2 0.280 0.617 0.806
Si3 0.663 0.189 0.383
Si4 0.474 0.811 0.194
Si5 0.663 0.383 0.189
Si6 0.280 0.806 0.617
B1 0.901 0.000 0.670
B2 0.901 0.670 0.000
B3 0.231 0.330 0.330
O1 0.707 0.000 0.000
O2 0.930 0.000 0.815
O3 0.930 0.815 0.000
O4 0.115 0.185 0.185
O5 0.062 0.408 0.000
O6 0.654 0.592 0.592
O7 0.062 0.000 0.408
O8 0.313 0.000 0.724
O9 0.313 0.724 0.000
O10 0.589 0.276 0.276
O11 0.482 0.279 0.000
O12 0.203 0.721 0.721
O13 0.482 0.000 0.279
O14 0.701 0.206 0.816
O15 0.495 0.610 0.794
O16 0.885 0.184 0.390
O17 0.701 0.816 0.206
O18 0.885 0.390 0.184
O19 0.495 0.794 0.610
O20 0.386 0.280 0.710
O21 0.106 0.430 0.720
O22 0.676 0.290 0.570
O23 0.386 0.710 0.280
O24 0.676 0.570 0.290
O25 0.106 0.720 0.430
O26 0.811 0.850 0.519
O27 0.961 0.670 0.150
O28 0.292 0.481 0.330
O29 0.811 0.519 0.850
O30 0.292 0.330 0.481
O31 0.961 0.150 0.670

Calculated values
ΔE_f (raw): -2605 meV/atom
DOS at the Fermi energy: 0.110 states/eV/atom



(17)
This record from Alexandria via LeMat-Bulk describes an optimized crystal structure of MgAlBO4. The functional is GGA-PBE.

Lattice parameters (Å, degrees): 4.927 4.927 5.625 90.00 90.00 112.61
Fractional coordinates of all 14 atoms:
Mg1 0.500 0.500 0.500
Mg2 0.500 0.500 0.000
Al1 0.855 0.145 0.250
Al2 0.145 0.855 0.750
B1 0.146 0.854 0.250
B2 0.854 0.146 0.750
O1 0.196 0.240 0.750
O2 0.760 0.804 0.750
O3 0.755 0.245 0.967
O4 0.755 0.245 0.533
O5 0.245 0.755 0.033
O6 0.245 0.755 0.467
O7 0.804 0.760 0.250
O8 0.240 0.196 0.250

Calculated values
ΔE_f (raw): -2639 meV/atom
DOS at the Fermi energy: 0.000 states/eV/atom



(18)
This record from Alexandria via LeMat-Bulk describes an optimized crystal structure of Mg2AlB2O6. The functional is GGA-PBE.

Lattice parameters (Å, degrees): 4.722 4.722 7.227 90.00 90.00 120.00
Fractional coordinates of all 11 atoms:
Mg1 0.333 0.667 0.273
Mg2 0.667 0.333 0.727
Al1 0.000 0.000 0.000
B1 0.333 0.667 0.842
B2 0.667 0.333 0.158
O1 0.294 0.356 0.841
O2 0.062 0.706 0.841
O3 0.644 0.938 0.841
O4 0.706 0.644 0.159
O5 0.938 0.294 0.159
O6 0.356 0.062 0.159

Calculated values
ΔE_f (raw): -2418 meV/atom
DOS at the Fermi energy: 0.093 states/eV/atom



(19)
This record from Alexandria via LeMat-Bulk describes an optimized crystal structure of Mg2AlB2Ru5. The functional is GGA-PBE.

Lattice parameters (Å, degrees): 2.934 9.420 9.420 90.00 90.00 90.00
Fractional coordinates of all 20 atoms:
Mg1 0.000 0.677 0.177
Mg2 0.000 0.323 0.823
Mg3 0.000 0.177 0.323
Mg4 0.000 0.823 0.677
Al1 0.000 0.000 0.000
Al2 0.000 0.500 0.500
B1 0.000 0.126 0.626
B2 0.000 0.874 0.374
B3 0.000 0.626 0.874
B4 0.000 0.374 0.126
Ru1 0.500 0.215 0.068
Ru2 0.500 0.785 0.932
Ru3 0.500 0.068 0.785
Ru4 0.500 0.715 0.432
Ru5 0.500 0.932 0.215
Ru6 0.500 0.285 0.568
Ru7 0.500 0.568 0.715
Ru8 0.500 0.432 0.285
Ru9 0.500 0.500 0.000
Ru10 0.500 0.000 0.500

Calculated values
DOS at the Fermi energy: 1.032 states/eV/atom
calculated formation energy: -0.284 eV per atom



(20)
This record from Alexandria via LeMat-Bulk describes an optimized crystal structure of MgAlBS2. The functional is GGA-PBE.

Lattice parameters (Å, degrees): 4.427 4.281 4.427 90.00 90.00 90.00
Fractional coordinates of all 5 atoms:
Mg1 0.000 0.500 0.000
S1 0.000 0.000 0.500
S2 0.500 0.000 0.000
B1 0.000 0.000 0.000
Al1 0.500 0.500 0.500

Calculated values
ΔE_f (raw): 512 meV/atom
DOS at the Fermi energy: 0.295 states/eV/atom